Tb3Er5Tm2 after structural relaxation. Source: Alexandria via LeMat-Bulk, functional PBE-GGA.

abc: 10.5621 15.5710 9.3498
angles: 90.00 124.26 90.00
Last column: nearest neighbours and their distance in Å.
Space group C2/c (No. 15)
Symmetry-distinct sites (fractional):
Tb: 0.0000 0.2329 0.2500 x4  3 Er 3.19-3.57, 4 Tm 3.27-3.52, 2 Tb 3.50
Tb: 0.1446 0.1225 0.0456 x8  1 Tm 3.14, 5 Er 3.25-3.45, 1 Tb 3.50
Er: 0.0000 0.0279 0.2500 x4  5 Tb 3.19-3.38, 2 Tm 3.35, 2 Er 3.43
Er: 0.0000 0.2707 0.7500 x4  1 Er 3.11, 2 Tb 3.25
Er: 0.0000 0.4701 0.7500 x4  3 Er 3.11-3.44, 4 Tm 3.26-3.39, 2 Tb 3.43
Er: 0.2412 0.3881 0.2345 x8  3 Er 3.43-3.63, 3 Tb 3.45-3.57, 2 Tm 3.45-3.55
Tm: 0.1524 0.3814 0.5482 x8  2 Tb 3.14-3.27, 4 Er 3.26-3.45

Its total energy is -174.5 eV/cell. For the energy of formation from the pure elements, the calculation gives 0.203 eV per atom. The calculation puts the volume at 31.8 Å³/atom. For the energy relative to the lowest polymorph listed for this composition, the calculation gives 0.000 eV/atom.